# 1
# ReMoW2

A relaxed structure of ReMoW2 (GGA-PBE, Alexandria).

Its total DFT energy (no corrections) is -49.04 eV/f.u. The excess energy over the best structure of this formula in the dataset comes out at 0.030 eV per atom. The calculation puts the spin magnetization at 0.0 μB per formula unit. For the density of states at the Fermi level, the calculation gives 0.762 states/eV/atom.

The space group is Pmmm (No. 47) and the conventional cell measures 3.160, 4.459 and 4.487 Å, with angles of 90.00, 90.00 and 90.00 degrees. The asymmetric unit holds Re at (0.000, 0.000, 0.000), Mo at (0.500, 0.000, 0.500), W at (0.000, 0.500, 0.500) and W at (0.500, 0.500, 0.000).

***

# 2
# CsIr4

A relaxed structure of CsIr4 (GGA-PBE, Alexandria).

Its total DFT energy (no corrections) is -18.21 eV/f.u. The calculation puts the spin magnetization at 2.9 μB per formula unit. For the density of states at the Fermi level, the calculation gives 1.526 states/eV/atom.

The space group is Pm-3m (No. 221) and the conventional cell measures 4.890, 4.890 and 4.890 Å, with angles of 90.00, 90.00 and 90.00 degrees. The asymmetric unit holds Cs at (0.000, 0.000, 0.000), Ir at (0.000, 0.000, 0.500) and Ir at (0.500, 0.500, 0.500).

***

# 3
# LiLaTe2

A relaxed structure of LiLaTe2 (GGA-PBE, Alexandria).

Its total DFT energy (no corrections) is -17.59 eV/f.u. The calculation puts the spin magnetization at 0.0 μB per formula unit. For the density of states at the Fermi level, the calculation gives 0.000 states/eV/atom.

The space group is P3m1 (No. 156) and the conventional cell measures 5.3175, 5.3175 and 6.3915 Å, with angles of 90.00, 90.00 and 120.00 degrees. The asymmetric unit holds Li at (0.0000, 0.0000, 0.0000), La at (0.3333, 0.6667, 0.4982), Te at (0.3333, 0.6667, 0.9962) and Te at (0.6667, 0.3333, 0.4867).

***

# 4
# CdPd5Pb2

A relaxed structure of CdPd5Pb2 (GGA-PBE, Alexandria).

Its total DFT energy (no corrections) is -36.01 eV/f.u. The calculation puts the spin magnetization at 0.0 μB per formula unit. For the density of states at the Fermi level, the calculation gives 0.468 states/eV/atom.

The space group is Fmmm (No. 69) and the conventional cell measures 6.974, 7.082 and 11.965 Å, with angles of 90.00, 90.00 and 90.00 degrees. The asymmetric unit holds Cd at (0.000, 0.000, 0.000), Pd at (0.000, 0.000, 0.500), Pd at (0.250, 0.250, 0.120) and Pb at (0.000, 0.000, 0.262).